1.
This record from Alexandria describes a relaxed BeW2 crystal. The functional is PBE.

Computed properties:
- DFT formation energy: 0.2012 eV per atom
- Polymorph energy (0 for the lowest one): 327 meV/atom
- DOS at the Fermi energy: 0.842 states/eV/f.u.
- Symmetry: No. 164

Unit cell a=4.3317 b=4.3317 c=2.6697 alpha=90.00 beta=90.00 gamma=120.00
Last column: nearest neighbours and their distance in Å.
Fractional coordinates of all 3 atoms:
Be 0.0000 0.0000 0.0000  6 W 2.65, 2 Be 2.67
W 0.3333 0.6667 0.6677  3 Be 2.65, 5 W 2.66-2.67
W 0.6667 0.3333 0.3323  3 Be 2.65, 5 W 2.66-2.67

---

2.
This record from Alexandria describes a relaxed BeW4 crystal. The functional is PBE.

Computed properties:
- DFT formation energy: 1.1323 eV per atom
- Polymorph energy (0 for the lowest one): 287 meV/atom
- DOS at the Fermi energy: 4.287 states/eV/f.u.
- Symmetry: No. 229

Unit cell a=5.4643 b=5.4643 c=5.4643 alpha=90.00 beta=90.00 gamma=90.00
Last column: nearest neighbours and their distance in Å.
Fractional coordinates of all 10 atoms:
Be 0.0000 0.0000 0.0000  8 W 2.37
Be 0.5000 0.5000 0.5000  8 W 2.37
W 0.2500 0.2500 0.2500  2 Be 2.37
W 0.2500 0.2500 0.7500  2 Be 2.37
W 0.2500 0.7500 0.2500  2 Be 2.37
W 0.2500 0.7500 0.7500  2 Be 2.37
W 0.7500 0.2500 0.2500  2 Be 2.37
W 0.7500 0.2500 0.7500  2 Be 2.37
W 0.7500 0.7500 0.2500  2 Be 2.37
W 0.7500 0.7500 0.7500  2 Be 2.37

---

3.
This record from Alexandria describes a relaxed BeW3 crystal. The functional is PBE.

Computed properties:
- DFT formation energy: 0.2232 eV per atom
- Polymorph energy (0 for the lowest one): 115 meV/atom
- DOS at the Fermi energy: 1.396 states/eV/f.u.
- Symmetry: No. 10

Unit cell a=2.6943 b=4.3837 c=5.1278 alpha=90.00 beta=99.73 gamma=90.00
Last column: nearest neighbours and their distance in Å.
Fractional coordinates of all 4 atoms:
Be 0.0000 0.0000 0.0000  6 W 2.66-2.69, 2 Be 2.69
W 0.2387 0.5000 0.7548  2 Be 2.66, 6 W 2.67-2.71
W 0.5000 0.0000 0.5000  2 Be 2.69, 6 W 2.69-2.71
W 0.7613 0.5000 0.2452  2 Be 2.66, 6 W 2.67-2.71

---

4.
This record from Alexandria describes a relaxed BeW3 crystal. The functional is PBE.

Computed properties:
- DFT formation energy: 0.2449 eV per atom
- Polymorph energy (0 for the lowest one): 136 meV/atom
- DOS at the Fermi energy: 1.746 states/eV/f.u.
- Symmetry: No. 12

Unit cell a=9.5889 b=3.1946 c=4.3295 alpha=90.00 beta=116.66 gamma=90.00
Last column: nearest neighbours and their distance in Å.
Fractional coordinates of all 8 atoms:
Be 0.0000 0.0000 0.0000  8 W 2.69
Be 0.5000 0.5000 0.0000  8 W 2.69
W 0.0000 0.5000 0.5000  4 W 2.66, 4 Be 2.69
W 0.2475 0.0000 0.7476  6 W 2.66-2.69, 2 Be 2.69
W 0.2525 0.5000 0.2524  6 W 2.66-2.69, 2 Be 2.69
W 0.5000 0.0000 0.5000  4 W 2.66, 4 Be 2.69
W 0.7475 0.5000 0.7476  6 W 2.66-2.69, 2 Be 2.69
W 0.7525 0.0000 0.2524  6 W 2.66-2.69, 2 Be 2.69